Record 1
Entry from Alexandria: a relaxed structure of BaNbAu3 (PBE).

size of the total moment	0.00	μB per formula unit
SG	Pm-3m
N(E_F)	25.19	states/eV/cell
energy above the lowest structure with this stoichiometry	1658	meV/atom

abc: 5.6582 5.6582 5.6582
angles: 90.00 90.00 90.00
With the nearest neighbours (Å) after each atom.
Fractional positions:
Au 0.0000 0.0000 0.5000  2 Ba 2.83
Nb 0.5000 0.5000 0.5000  12 Au 4.00
Ba 0.0000 0.0000 0.0000  6 Au 2.83
Au 0.0000 0.5000 0.0000  2 Ba 2.83
Au 0.5000 0.0000 0.0000  2 Ba 2.83

Record 2
Entry from Alexandria: a relaxed structure of BaNbAu2 (PBE).

size of the total moment	1.84	μB per formula unit
SG	I-42d
N(E_F)	6.34	states/eV/cell
energy above the lowest structure with this stoichiometry	68	meV/atom

abc: 5.5422 5.5422 9.5150
angles: 73.07 73.07 90.00
With the nearest neighbours (Å) after each atom.
Fractional positions:
Au 0.4792 0.1250 0.2500  2 Nb 2.64
Ba 0.0000 0.0000 0.0000  4 Au 3.38
Nb 0.5000 0.5000 0.0000  4 Au 2.64
Au 0.8750 0.7292 0.7500  2 Nb 2.64
Ba 0.7500 0.2500 0.5000  4 Au 3.38
Au 0.2708 0.6250 0.2500  2 Nb 2.64
Au 0.3750 0.5208 0.7500  2 Nb 2.64
Nb 0.2500 0.7500 0.5000  4 Au 2.64

Record 3
Entry from Alexandria: a relaxed structure of BaNbAu (PBE).

size of the total moment	0.00	μB per formula unit
SG	Pnma
N(E_F)	4.76	states/eV/cell
energy above the lowest structure with this stoichiometry	198	meV/atom

abc: 10.3713 3.5165 9.6273
angles: 90.00 90.00 90.00
With the nearest neighbours (Å) after each atom.
Fractional positions:
Au 0.9144 0.2500 0.7453  2 Nb 2.78
Ba 0.6799 0.7500 0.9136  5 Au 3.34-3.61, 3 Nb 3.45-3.70, 2 Ba 3.52
Ba 0.3201 0.2500 0.0864  5 Au 3.34-3.61, 3 Nb 3.45-3.70, 2 Ba 3.52
Nb 0.4512 0.2500 0.4154  2 Nb 2.60, 2 Au 2.78
Nb 0.5488 0.7500 0.5846  2 Nb 2.60, 2 Au 2.78
Ba 0.1799 0.7500 0.5864  5 Au 3.34-3.61, 3 Nb 3.45-3.70, 2 Ba 3.52
Nb 0.9512 0.2500 0.0846  2 Nb 2.60, 2 Au 2.78
Au 0.0856 0.7500 0.2547  2 Nb 2.78
Au 0.5856 0.7500 0.2453  2 Nb 2.78
Nb 0.0488 0.7500 0.9154  2 Nb 2.60, 2 Au 2.78
Ba 0.8201 0.2500 0.4136  5 Au 3.34-3.61, 3 Nb 3.45-3.70, 2 Ba 3.52
Au 0.4144 0.2500 0.7547  2 Nb 2.78

Record 4
Entry from Alexandria: a relaxed structure of BaNbAu3 (PBE).

size of the total moment	0.00	μB per formula unit
SG	Pm-3m
N(E_F)	4.17	states/eV/cell
energy above the lowest structure with this stoichiometry	0	meV/atom

abc: 5.2492 5.2492 5.2492
angles: 90.00 90.00 90.00
With the nearest neighbours (Å) after each atom.
Fractional positions:
Nb 0.0000 0.0000 0.0000  6 Au 2.62
Au 0.0000 0.5000 0.0000  2 Nb 2.62
Ba 0.5000 0.5000 0.5000  12 Au 3.71
Au 0.0000 0.0000 0.5000  2 Nb 2.62
Au 0.5000 0.0000 0.0000  2 Nb 2.62

Record 5
Entry from Alexandria: a relaxed structure of BaNbAu (PBE).

size of the total moment	0.00	μB per formula unit
SG	Cmcm
N(E_F)	5.15	states/eV/cell
energy above the lowest structure with this stoichiometry	33	meV/atom

abc: 5.3269 6.8830 4.8420
angles: 69.41 90.00 90.00
With the nearest neighbours (Å) after each atom.
Fractional positions:
Ba 0.5416 0.6284 0.5211  3 Au 3.27-3.48
Nb 0.7916 0.2111 0.2296  2 Nb 2.66, 4 Au 2.87
Nb 0.2916 0.2111 0.2296  2 Nb 2.66, 4 Au 2.87
Ba 0.0416 0.7938 0.9384  3 Au 3.27-3.48
Au 0.0416 0.3335 0.6684  4 Nb 2.87, 2 Au 3.10
Au 0.5416 0.0887 0.7908  4 Nb 2.87, 2 Au 3.10

Record 6
Entry from Alexandria: a relaxed structure of BaNbAu (PBE).

size of the total moment	0.00	μB per formula unit
SG	P-1
N(E_F)	6.05	states/eV/cell
energy above the lowest structure with this stoichiometry	0	meV/atom

abc: 3.5250 13.4022 3.5250
angles: 97.49 90.07 82.31
With the nearest neighbours (Å) after each atom.
Fractional positions:
Nb 0.0101 0.2615 0.3825  4 Nb 2.82-2.83, 5 Au 2.97-2.99
Nb 0.5620 0.1608 0.8324  4 Nb 2.82-2.83, 5 Au 2.97-2.99
Ba 0.7146 0.8612 0.6839  4 Au 3.39, 4 Ba 3.52
Au 0.4466 0.3864 0.9443  5 Nb 2.97-2.99
Au 0.1255 0.0359 0.2706  5 Nb 2.97-2.99
Ba 0.8573 0.5611 0.5309  4 Au 3.39, 4 Ba 3.52